(1)
# Sr2InSnH PBE-GGA optimized geometry
# energy above the lowest structure with this stoichiometry = 24 kJ/mol of formula units
# space-group type = P4/mmm
# Fermi-level density of states = 1.39 states/eV per cell
data_Sr2InSnH
_chemical_formula_sum 'Sr2 In1 Sn1 H1'
_symmetry_space_group_name_H-M 'P 1'
_symmetry_Int_Tables_number 1
_cell_length_a 5.373
_cell_length_b 5.373
_cell_length_c 4.625
_cell_angle_alpha 90.00
_cell_angle_beta 90.00
_cell_angle_gamma 90.00
loop_
_symmetry_equiv_pos_as_xyz
'x,y,z'
loop_
_atom_site_label
_atom_site_type_symbol
_atom_site_fract_x
_atom_site_fract_y
_atom_site_fract_z
Sr1 Sr 0.000 0.500 0.000
Sr2 Sr 0.500 0.000 0.000
In1 In 0.000 0.000 0.500
Sn1 Sn 0.500 0.500 0.500
H1 H 0.500 0.500 0.000

---

(2)
# TlInSn2H PBE-GGA optimized geometry
# energy above the lowest structure with this stoichiometry = 3 kJ/mol of formula units
# space-group type = P4/mmm
# Fermi-level density of states = 2.17 states/eV per cell
data_TlInSn2H
_chemical_formula_sum 'Tl1 In1 Sn2 H1'
_symmetry_space_group_name_H-M 'P 1'
_symmetry_Int_Tables_number 1
_cell_length_a 4.764
_cell_length_b 4.764
_cell_length_c 5.193
_cell_angle_alpha 90.00
_cell_angle_beta 90.00
_cell_angle_gamma 90.00
loop_
_symmetry_equiv_pos_as_xyz
'x,y,z'
loop_
_atom_site_label
_atom_site_type_symbol
_atom_site_fract_x
_atom_site_fract_y
_atom_site_fract_z
Tl1 Tl 0.000 0.000 0.000
In1 In 0.500 0.500 0.000
Sn1 Sn 0.000 0.500 0.500
Sn2 Sn 0.500 0.000 0.500
H1 H 0.500 0.500 0.500

---

The records above give, respectively, electronic total energy values of -3.05; -3.07 eV per atom.